Entry 1:
# Ba4Ag2As, optimized geometry, DFT PBE-GGA
# **Energy relative to the elements**: -0.38 eV per atom
# **N(E_F)**: 0.721 states/eV per atom
# **Magnetization**: 0.06 μB per atom
data_Ba4Ag2As
_symmetry_space_group_name_H-M 'I 4/m m m'
_symmetry_Int_Tables_number 139
_symmetry_space_group_name_Hall '-I 4 2'
_cell_length_a 6.479
_cell_length_b 6.479
_cell_length_c 16.054
_cell_angle_alpha 90.00
_cell_angle_beta 90.00
_cell_angle_gamma 90.00
loop_
_atom_site_label
_atom_site_fract_x
_atom_site_fract_y
_atom_site_fract_z
Ba1 0.000 0.000 0.198
Ba2 0.000 0.500 0.000
Ag1 0.000 0.000 0.410
As1 0.000 0.000 0.000

***

Entry 2:
# V2Pd2Pt5, optimized geometry, DFT PBE-GGA
# **Energy relative to the elements**: -0.21 eV per atom
# **Energy above the lowest structure with this stoichiometry**: 0.0139 eV per atom
# **N(E_F)**: 1.027 states/eV per atom
# **Magnetization**: 0.00 μB per atom
data_V2Pd2Pt5
_symmetry_space_group_name_H-M 'P -1'
_symmetry_Int_Tables_number 2
_symmetry_space_group_name_Hall '-P 1'
_cell_length_a 4.514
_cell_length_b 4.625
_cell_length_c 7.395
_cell_angle_alpha 97.64
_cell_angle_beta 97.28
_cell_angle_gamma 108.97
loop_
_atom_site_label
_atom_site_fract_x
_atom_site_fract_y
_atom_site_fract_z
V1 0.091 0.094 0.353
Pd1 0.163 0.521 0.831
Pt1 0.000 0.000 0.000
Pt2 0.308 0.684 0.494
Pt3 0.482 0.858 0.177

***

Entry 3:
# LaPmTmSc, optimized geometry, DFT PBE-GGA
# **Energy relative to the elements**: 0.09 eV per atom
# **Energy above the lowest structure with this stoichiometry**: 0.0035 eV per atom
# **N(E_F)**: 1.596 states/eV per atom
# **Magnetization**: 0.00 μB per atom
data_LaPmTmSc
_symmetry_space_group_name_H-M 'I m m 2'
_symmetry_Int_Tables_number 44
_symmetry_space_group_name_Hall 'I 2 -2'
_cell_length_a 3.833
_cell_length_b 5.711
_cell_length_c 11.578
_cell_angle_alpha 90.00
_cell_angle_beta 90.00
_cell_angle_gamma 90.00
loop_
_atom_site_label
_atom_site_fract_x
_atom_site_fract_y
_atom_site_fract_z
La1 0.000 0.000 0.000
Pm1 0.000 0.500 0.774
Tm1 0.000 0.500 0.236
Sc1 0.000 0.000 0.509

***

Entry 4:
# CdP, optimized geometry, DFT PBE-GGA
# **Energy relative to the elements**: 0.11 eV per atom
# **Energy above the lowest structure with this stoichiometry**: 0.1538 eV per atom
# **N(E_F)**: 0.257 states/eV per atom
# **Magnetization**: 0.00 μB per atom
data_CdP
_symmetry_space_group_name_H-M 'P 42/m n m'
_symmetry_Int_Tables_number 136
_symmetry_space_group_name_Hall '-P 4n 2n'
_cell_length_a 6.626
_cell_length_b 6.626
_cell_length_c 4.594
_cell_angle_alpha 90.00
_cell_angle_beta 90.00
_cell_angle_gamma 90.00
loop_
_atom_site_label
_atom_site_fract_x
_atom_site_fract_y
_atom_site_fract_z
Cd1 0.237 0.237 0.000
P1 0.124 0.124 0.500

***

Entry 5:
# CaCd2Pb, optimized geometry, DFT PBE-GGA
# **Energy relative to the elements**: -0.07 eV per atom
# **N(E_F)**: 0.541 states/eV per atom
# **Magnetization**: 0.00 μB per atom
data_CaCd2Pb
_symmetry_space_group_name_H-M 'R -3 m'
_symmetry_Int_Tables_number 166
_symmetry_space_group_name_Hall '-R 3 2"'
_cell_length_a 3.6959
_cell_length_b 3.6959
_cell_length_c 30.0259
_cell_angle_alpha 90.00
_cell_angle_beta 90.00
_cell_angle_gamma 120.00
loop_
_atom_site_label
_atom_site_fract_x
_atom_site_fract_y
_atom_site_fract_z
Ca1 0.0000 0.0000 0.0000
Cd1 0.0000 0.0000 0.2503
Pb1 0.0000 0.0000 0.5000

***

Entry 6:
# NdThBiTe2, optimized geometry, DFT PBE-GGA
# **N(E_F)**: 0.811 states/eV per atom
# **Magnetization**: 0.00 μB per atom
# **Formation energy from raw total energies**: -0.662 eV per atom
data_NdThBiTe2
_symmetry_space_group_name_H-M 'I 4 m m'
_symmetry_Int_Tables_number 107
_symmetry_space_group_name_Hall 'I 4 -2'
_cell_length_a 4.679
_cell_length_b 4.679
_cell_length_c 15.542
_cell_angle_alpha 90.00
_cell_angle_beta 90.00
_cell_angle_gamma 90.00
loop_
_atom_site_label
_atom_site_fract_x
_atom_site_fract_y
_atom_site_fract_z
Nd1 0.000 0.000 0.000
Th1 0.000 0.000 0.229
Bi1 0.000 0.000 0.624
Te1 0.000 0.500 0.364